Material: InBP2H5NO9
Method: DFT, SCAN
State: PBEsol geometry

Computed properties:
DOS(E_F)   0.000 states/eV/cell
Magnetization   0.00 μB/f.u.
DFT total energy   -357.83 eV per cell

The structure in POSCAR format:
```
InBP2H5NO9
1.0
5.315 0.019 -0.013
0.511 8.521 -0.016
1.365 0.320 8.267
In B P H N O
2 2 4 10 2 18
Direct
0.280 0.681 0.785 In
0.720 0.319 0.215 In
0.104 0.776 0.430 B
0.896 0.224 0.570 B
0.203 0.084 0.311 P
0.218 0.566 0.188 P
0.782 0.434 0.812 P
0.797 0.916 0.689 P
0.187 0.217 0.810 H
0.160 0.136 0.001 H
0.357 0.048 0.845 H
0.377 0.608 0.459 H
0.433 0.220 0.919 H
0.567 0.780 0.081 H
0.623 0.392 0.541 H
0.643 0.952 0.155 H
0.840 0.864 0.999 H
0.813 0.783 0.190 H
0.284 0.155 0.893 N
0.716 0.845 0.107 N
0.069 0.431 0.149 O
0.033 0.674 0.308 O
0.135 0.167 0.475 O
0.012 0.888 0.791 O
0.317 0.668 0.036 O
0.251 0.905 0.345 O
0.267 0.684 0.529 O
0.459 0.136 0.223 O
0.447 0.512 0.276 O
0.553 0.488 0.724 O
0.541 0.864 0.777 O
0.733 0.316 0.471 O
0.749 0.095 0.655 O
0.683 0.332 0.964 O
0.988 0.112 0.209 O
0.865 0.833 0.525 O
0.967 0.326 0.692 O
0.931 0.569 0.851 O
```